This record from the Alexandria database describes a PBEsol-optimized structure of Ta4Te9I4O. The functional is SCAN.

Unit cell a=6.126 b=11.331 c=17.452 alpha=86.39 beta=79.89 gamma=74.32
Positions (direct):
Te (0.044, 0.503, 0.374)
Te (0.801, 0.028, 0.334)
Te (0.472, 0.441, 0.902)
Te (0.664, 0.389, 0.572)
Te (0.079, 0.003, 0.874)
Te (0.185, 0.941, 0.402)
Te (0.956, 0.497, 0.626)
Te (0.199, 0.972, 0.666)
Te (0.352, 0.250, 0.750)
Te (0.815, 0.059, 0.598)
Te (0.375, 0.889, 0.072)
Te (0.528, 0.559, 0.098)
Te (0.336, 0.611, 0.428)
Te (0.921, 0.997, 0.126)
Te (0.648, 0.750, 0.250)
Te (0.164, 0.472, 0.166)
Te (0.836, 0.528, 0.834)
Te (0.625, 0.111, 0.928)
O (0.899, 0.250, 0.750)
O (0.101, 0.750, 0.250)
Ta (0.362, 0.585, 0.263)
Ta (0.017, 0.233, 0.638)
Ta (0.790, 0.085, 0.763)
Ta (0.113, 0.733, 0.138)
Ta (0.638, 0.415, 0.737)
Ta (0.210, 0.915, 0.237)
Ta (0.983, 0.767, 0.362)
Ta (0.887, 0.267, 0.862)
I (0.373, 0.125, 0.222)
I (0.647, 0.788, 0.494)
I (0.071, 0.288, 0.994)
I (0.280, 0.625, 0.722)
I (0.627, 0.875, 0.778)
I (0.929, 0.712, 0.006)
I (0.353, 0.212, 0.506)
I (0.720, 0.375, 0.278)

Summary:
* calculated total energy: -42.4489 eV per atom
* M_tot: 0.0 μB per formula unit
* calculated density: 6.93 g/cm³



This record from the Alexandria database describes a PBEsol-optimized structure of ZrTaIO2. The functional is SCAN.

Unit cell a=3.945 b=3.945 c=6.017 alpha=90.00 beta=90.00 gamma=90.00
Positions (direct):
O (0.500, 0.000, 0.000)
O (0.000, 0.500, 0.000)
Zr (0.500, 0.500, 0.500)
I (0.000, 0.000, 0.500)
Ta (0.000, 0.000, 0.000)

Summary:
* calculated total energy: -30.2637 eV per atom
* M_tot: 1.9 μB per formula unit
* calculated density: 7.64 g/cm³